Record 1
VASP calculation (PBE) on crystalline K2TlCd2F7 at its relaxed geometry.

Cell: 4.486 4.486 11.608 Å, 101.12 101.12 89.99°
Fractional positions:
1 K 0.183 0.183 0.371
2 K 0.817 0.817 0.629
3 Tl 0.000 0.000 0.000
4 Cd 0.399 0.399 0.798
5 Cd 0.601 0.601 0.202
6 F 0.100 0.600 0.200
7 F 0.297 0.297 0.599
8 F 0.400 0.900 0.800
9 F 0.500 0.500 0.000
10 F 0.600 0.100 0.200
11 F 0.703 0.703 0.401
12 F 0.900 0.400 0.800

## Properties
Magnetization: 0.000 μB per atom
DOS(E_F): 0.0000 states/eV per atom
Total energy: -47.35 eV per formula unit

Record 2
VASP calculation (PBE) on crystalline YPt3 at its relaxed geometry.

Cell: 4.126 4.126 4.126 Å, 90.00 90.00 90.00°
Fractional positions:
1 Y 0.000 0.000 0.000
2 Pt 0.000 0.500 0.500
3 Pt 0.500 0.000 0.500
4 Pt 0.500 0.500 0.000

## Properties
Magnetization: 0.000 μB per atom
Formation enthalpy at 0 K: -999 meV per atom
DOS(E_F): 1.0228 states/eV per atom

Record 3
VASP calculation (PBE) on crystalline ScTlBr2 at its relaxed geometry.

Cell: 3.380 3.380 10.104 Å, 90.00 90.00 90.00°
Fractional positions:
1 Sc 0.000 0.000 0.000
2 Tl 0.000 0.000 0.500
3 Br 0.500 0.500 0.163
4 Br 0.500 0.500 0.837

## Properties
Offset from the most stable computed form: 0.52 eV per formula unit
Magnetization: 0.000 μB per atom
DOS(E_F): 0.4334 states/eV per atom

- magnetization of number 1 (K2TlCd2F7)?
  0.000 μB per atom